(1)
VASP calculation (PBE) on NbP2RhS after structural relaxation.

Properties
DFT total energy ... -0.213 hartree per atom
Excess energy over the best structure of this formula in the dataset ... 6.9 meV/atom
Density ... 4.49 g/cm³
Energy relative to the elements, uncorrected ... 66.0 kJ/mol of atoms

```
NbP2RhS
1.0
4.797 0.000 0.000
0.000 4.797 0.000
0.000 0.000 4.664
Nb P Rh S
1 2 1 1
Direct
0.000 0.000 0.000 Nb
0.000 0.500 0.000 P
0.500 0.000 0.000 P
0.500 0.500 0.500 Rh
0.000 0.000 0.500 S
```


(2)
VASP calculation (PBE) on NbP2RhS after structural relaxation.

Properties
DFT total energy ... -0.201 hartree per atom
Excess energy over the best structure of this formula in the dataset ... 315.4 meV/atom
Density ... 4.38 g/cm³
Energy relative to the elements, uncorrected ... 95.8 kJ/mol of atoms

```
NbP2RhS
1.0
4.734 0.000 0.000
0.000 4.734 0.000
0.000 0.000 4.905
Nb P Rh S
1 2 1 1
Direct
0.000 0.000 0.000 Nb
0.000 0.500 0.000 P
0.500 0.000 0.000 P
0.000 0.000 0.500 Rh
0.500 0.500 0.500 S
```


(3)
VASP calculation (PBE) on Sm2NbP3Rh12 after structural relaxation.

Properties
DFT total energy ... -0.262 hartree per atom
Density ... 9.04 g/cm³

```
Sm2NbP3Rh12
1.0
4.232 2.444 5.093
-4.232 2.444 5.093
0.000 -4.887 5.093
Sm Nb P Rh
2 1 3 12
Direct
0.104 0.104 0.104 Sm
0.896 0.896 0.896 Sm
0.500 0.500 0.500 Nb
0.000 0.500 0.500 P
0.500 0.000 0.500 P
0.500 0.500 0.000 P
0.132 0.650 0.650 Rh
0.173 0.173 0.589 Rh
0.173 0.589 0.173 Rh
0.350 0.350 0.868 Rh
0.350 0.868 0.350 Rh
0.411 0.827 0.827 Rh
0.589 0.173 0.173 Rh
0.650 0.132 0.650 Rh
0.650 0.650 0.132 Rh
0.827 0.411 0.827 Rh
0.827 0.827 0.411 Rh
0.868 0.350 0.350 Rh
```


(4)
VASP calculation (PBE) on SrNbP2Rh after structural relaxation.

Properties
DFT total energy ... -0.253 hartree per atom
Density ... 5.70 g/cm³

```
SrNbP2Rh
1.0
-2.041 2.041 6.036
2.041 -2.041 6.036
2.041 2.041 -6.036
Sr Nb P Rh
1 1 2 1
Direct
0.000 0.000 0.000 Sr
0.250 0.750 0.500 Nb
0.364 0.364 0.000 P
0.636 0.636 0.000 P
0.750 0.250 0.500 Rh
```


(5)
VASP calculation (PBE) on Tb2NbP3Rh12 after structural relaxation.

Properties
DFT total energy ... -0.263 hartree per atom
Density ... 9.90 g/cm³

```
Tb2NbP3Rh12
1.0
4.408 2.545 4.334
-4.408 2.545 4.334
0.000 -5.090 4.334
Tb Nb P Rh
2 1 3 12
Direct
0.123 0.123 0.123 Tb
0.877 0.877 0.877 Tb
0.500 0.500 0.500 Nb
0.000 0.500 0.500 P
0.500 0.000 0.500 P
0.500 0.500 0.000 P
0.137 0.137 0.586 Rh
0.137 0.586 0.137 Rh
0.168 0.676 0.676 Rh
0.324 0.324 0.832 Rh
0.324 0.832 0.324 Rh
0.414 0.863 0.863 Rh
0.586 0.137 0.137 Rh
0.676 0.168 0.676 Rh
0.676 0.676 0.168 Rh
0.832 0.324 0.324 Rh
0.863 0.414 0.863 Rh
0.863 0.863 0.414 Rh
```


(6)
VASP calculation (PBE) on TbNbP2Rh5 after structural relaxation.

Properties
DFT total energy ... -0.269 hartree per atom
Density ... 8.30 g/cm³

```
TbNbP2Rh5
1.0
4.008 0.000 0.000
0.000 4.008 0.000
0.000 0.000 10.308
Tb Nb P Rh
1 1 2 5
Direct
0.000 0.000 0.000 Tb
0.500 0.500 0.500 Nb
0.500 0.500 0.217 P
0.500 0.500 0.783 P
0.000 0.500 0.327 Rh
0.000 0.500 0.673 Rh
0.500 0.000 0.327 Rh
0.500 0.000 0.673 Rh
0.500 0.500 0.000 Rh
```


(7)
VASP calculation (PBE) on Th2NbP3Rh12 after structural relaxation.

Properties
DFT total energy ... -0.277 hartree per atom
Density ... 9.96 g/cm³

```
Th2NbP3Rh12
1.0
4.258 2.458 5.001
-4.258 2.458 5.001
0.000 -4.917 5.001
Th Nb P Rh
2 1 3 12
Direct
0.110 0.110 0.110 Th
0.890 0.890 0.890 Th
0.500 0.500 0.500 Nb
0.000 0.500 0.500 P
0.500 0.000 0.500 P
0.500 0.500 0.000 P
0.131 0.656 0.656 Rh
0.173 0.173 0.591 Rh
0.173 0.591 0.173 Rh
0.344 0.344 0.869 Rh
0.344 0.869 0.344 Rh
0.409 0.827 0.827 Rh
0.591 0.173 0.173 Rh
0.656 0.131 0.656 Rh
0.656 0.656 0.131 Rh
0.827 0.409 0.827 Rh
0.827 0.827 0.409 Rh
0.869 0.344 0.344 Rh
```


(8)
VASP calculation (PBE) on TmNbP2Rh5 after structural relaxation.

Properties
DFT total energy ... -0.268 hartree per atom
Density ... 8.46 g/cm³

```
TmNbP2Rh5
1.0
3.982 0.000 0.000
0.000 3.982 0.000
0.000 0.000 10.377
Tm Nb P Rh
1 1 2 5
Direct
0.000 0.000 0.000 Tm
0.500 0.500 0.500 Nb
0.500 0.500 0.215 P
0.500 0.500 0.785 P
0.000 0.500 0.327 Rh
0.000 0.500 0.673 Rh
0.500 0.000 0.327 Rh
0.500 0.000 0.673 Rh
0.500 0.500 0.000 Rh
```